A relaxed structure of BaIrO6. Source: Alexandria, functional GGA-PBE.

Output
As for the size of the total moment: 0.96 μB/f.u. The formation energy without anion corrections is -0.762 eV per atom. The theoretical density is 6.0 g/cm3.

a b c (Å): 4.904 4.904 5.052
angles (deg): 82.39 82.39 97.39
Fractional coordinates of all 8 atoms:
Ba (0.500, 0.500, 0.500)
Ir (0.000, 0.000, 0.000)
O (0.082, 0.728, 0.259)
O (0.728, 0.082, 0.259)
O (0.272, 0.918, 0.741)
O (0.918, 0.272, 0.741)
O (0.264, 0.264, 0.091)
O (0.736, 0.736, 0.909)